# 1
A relaxed structure of YNbI2. Source: the Alexandria database, functional PBE.

Properties
- Raw formation energy: 4.54 kcal/mol of atoms
- Energy above the lowest structure with this stoichiometry: 111 meV/atom

Lattice parameters (Å, degrees): 10.0856 10.0856 10.0856 150.71 150.71 41.91
Positions (direct):
Y (0.0000, 0.0000, 0.0000)
Y (0.7500, 0.2500, 0.5000)
Nb (0.2500, 0.7500, 0.5000)
Nb (0.5000, 0.5000, 0.0000)
I (0.1451, 0.6250, 0.0201)
I (0.3750, 0.3951, 0.5201)
I (0.6049, 0.1250, 0.9799)
I (0.8750, 0.8549, 0.4799)

---

# 2
A relaxed structure of Y3NbI. Source: the Alexandria database, functional PBE.

Properties
- Raw formation energy: 9.44 kcal/mol of atoms
- Energy above the lowest structure with this stoichiometry: 0 meV/atom

Lattice parameters (Å, degrees): 5.5548 5.5548 5.5548 90.00 90.00 90.00
Positions (direct):
Y (0.0000, 0.0000, 0.5000)
Y (0.0000, 0.5000, 0.0000)
Y (0.5000, 0.0000, 0.0000)
Nb (0.0000, 0.0000, 0.0000)
I (0.5000, 0.5000, 0.5000)

---

# 3
A relaxed structure of Y2NbI. Source: the Alexandria database, functional PBE.

Properties
- Raw formation energy: 19.91 kcal/mol of atoms
- Energy above the lowest structure with this stoichiometry: 530 meV/atom

Lattice parameters (Å, degrees): 8.1163 8.1163 8.1163 131.05 131.05 71.74
Positions (direct):
Y (0.0625, 0.6250, 0.9375)
Y (0.3750, 0.3125, 0.4375)
Y (0.6875, 0.1250, 0.0625)
Y (0.8750, 0.9375, 0.5625)
Nb (0.0000, 0.0000, 0.0000)
Nb (0.7500, 0.2500, 0.5000)
I (0.2500, 0.7500, 0.5000)
I (0.5000, 0.5000, 0.0000)

---

# 4
A relaxed structure of YNbI2. Source: the Alexandria database, functional PBE.

Properties
- Raw formation energy: 1.99 kcal/mol of atoms
- Energy above the lowest structure with this stoichiometry: 0 meV/atom

Lattice parameters (Å, degrees): 5.1784 5.1784 5.1784 60.00 60.00 60.00
Positions (direct):
Y (0.0000, 0.0000, 0.0000)
Nb (0.5000, 0.5000, 0.5000)
I (0.2500, 0.2500, 0.2500)
I (0.7500, 0.7500, 0.7500)

---

# 5
A relaxed structure of YNbI2. Source: the Alexandria database, functional PBE.

Properties
- Raw formation energy: 2.27 kcal/mol of atoms
- Energy above the lowest structure with this stoichiometry: 12 meV/atom

Lattice parameters (Å, degrees): 10.3343 10.3343 10.3343 20.07 20.07 20.07
Positions (direct):
Y (0.0000, 0.0000, 0.0000)
Nb (0.5000, 0.5000, 0.5000)
I (0.4085, 0.4085, 0.4085)
I (0.5915, 0.5915, 0.5915)

---

# 6
A relaxed structure of Y2NbI. Source: the Alexandria database, functional PBE.

Properties
- Raw formation energy: 7.69 kcal/mol of atoms
- Energy above the lowest structure with this stoichiometry: 0 meV/atom

Lattice parameters (Å, degrees): 5.2872 5.2872 5.2872 60.00 60.00 60.00
Positions (direct):
Y (0.2500, 0.2500, 0.2500)
Y (0.7500, 0.7500, 0.7500)
Nb (0.0000, 0.0000, 0.0000)
I (0.5000, 0.5000, 0.5000)

---

# 7
A relaxed structure of Y2NbI2. Source: the Alexandria database, functional PBE.

Properties
- Raw formation energy: 4.48 kcal/mol of atoms
- Energy above the lowest structure with this stoichiometry: 198 meV/atom

Lattice parameters (Å, degrees): 6.0370 6.0370 6.0370 121.09 121.09 88.12
Positions (direct):
Y (0.2500, 0.7500, 0.5000)
Y (0.7500, 0.2500, 0.5000)
Nb (0.0000, 0.0000, 0.0000)
I (0.3162, 0.3162, 0.0000)
I (0.6838, 0.6838, 0.0000)

---

# 8
A relaxed structure of Y2NbI. Source: the Alexandria database, functional PBE.

Properties
- Raw formation energy: 9.29 kcal/mol of atoms
- Energy above the lowest structure with this stoichiometry: 69 meV/atom

Lattice parameters (Å, degrees): 10.9576 10.9576 10.9576 18.24 18.24 18.24
Positions (direct):
Y (0.0888, 0.0888, 0.0888)
Y (0.9112, 0.9112, 0.9112)
Nb (0.0000, 0.0000, 0.0000)
I (0.5000, 0.5000, 0.5000)

---

# 9
A relaxed structure of Y2NbI2. Source: the Alexandria database, functional PBE.

Properties
- Raw formation energy: -0.07 kcal/mol of atoms
- Energy above the lowest structure with this stoichiometry: 0 meV/atom

Lattice parameters (Å, degrees): 7.7639 7.7639 4.2443 90.00 90.00 90.00
Positions (direct):
Y (0.1600, 0.3400, 0.0000)
Y (0.3400, 0.8400, 0.0000)
Y (0.6600, 0.1600, 0.0000)
Y (0.8400, 0.6600, 0.0000)
Nb (0.0000, 0.0000, 0.5000)
Nb (0.5000, 0.5000, 0.5000)
I (0.1521, 0.6521, 0.5000)
I (0.3479, 0.1521, 0.5000)
I (0.6521, 0.8479, 0.5000)
I (0.8479, 0.3479, 0.5000)

---

# 10
A relaxed structure of Y3NbI. Source: the Alexandria database, functional PBE.

Properties
- Raw formation energy: 17.24 kcal/mol of atoms
- Energy above the lowest structure with this stoichiometry: 338 meV/atom

Lattice parameters (Å, degrees): 5.5421 5.5421 5.5421 90.00 90.00 90.00
Positions (direct):
Y (0.0000, 0.0000, 0.5000)
Y (0.0000, 0.5000, 0.0000)
Y (0.5000, 0.0000, 0.0000)
Nb (0.5000, 0.5000, 0.5000)
I (0.0000, 0.0000, 0.0000)

---

# 11
A relaxed structure of YNbZnI2. Source: the Alexandria database, functional PBE.

Properties
- Raw formation energy: 17.18 kcal/mol of atoms

Lattice parameters (Å, degrees): 5.3652 5.3652 5.1100 90.00 90.00 90.00
Positions (direct):
Y (0.0000, 0.0000, 0.0000)
Nb (0.5000, 0.5000, 0.0000)
Zn (0.5000, 0.5000, 0.5000)
I (0.0000, 0.5000, 0.5000)
I (0.5000, 0.0000, 0.5000)

---

# 12
A relaxed structure of NbZn3I. Source: the Alexandria database, functional PBE.

Properties
- Raw formation energy: 20.35 kcal/mol of atoms
- Energy above the lowest structure with this stoichiometry: 0 meV/atom

Lattice parameters (Å, degrees): 5.3664 5.3664 5.3664 90.00 90.00 90.00
Positions (direct):
Nb (0.0000, 0.0000, 0.0000)
Zn (0.0000, 0.0000, 0.5000)
Zn (0.0000, 0.5000, 0.0000)
Zn (0.5000, 0.0000, 0.0000)
I (0.5000, 0.5000, 0.5000)

---

- raw formation energy of number 2 (Y3NbI)?
  9.44 kcal/mol of atoms

---

- raw formation energy of number 9 (Y2NbI2)?
  -0.07 kcal/mol of atoms

---

- What is the raw formation energy in the fourth record?
  1.99 kcal/mol of atoms